No. 1
VASP calculation (GGA-PBE) on an optimized crystal structure of SnSbTe.

uncorrected formation energy = -0.018 eV/atom
distance to the lowest polymorph of the same formula = 0 meV/atom

abc: 13.6085 4.3087 6.2658
angles: 90.00 90.00 90.00
Closest atoms and distances in Å follow each position.
Space group C2/m (No. 12)
One atom of each set of equivalent atoms:
Sn1 0.1699 0.0000 0.2511  4 Sb 3.07-3.13, 2 Te 3.14
Sb1 0.1698 0.0000 0.7510  4 Sn 3.07-3.13, 2 Te 3.18
Te1 0.0025 0.5000 0.2500  2 Te 3.13, 2 Sn 3.14, 2 Sb 3.18


No. 2
VASP calculation (GGA-PBE) on an optimized crystal structure of Tc2Os.

formation energy from the elements = 0.270 eV/atom
distance to the lowest polymorph of the same formula = 334 meV/atom

abc: 2.7448 2.7448 23.9928
angles: 90.00 90.00 90.00
Closest atoms and distances in Å follow each position.
Space group I4_1/amd (No. 141, origin choice 2)
One atom of each set of equivalent atoms:
Tc1 0.0000 0.2500 0.2966  6 Tc 2.62-2.74, 4 Os 2.70
Os1 0.0000 0.2500 0.8750  8 Tc 2.70, 4 Os 2.74


No. 3
VASP calculation (GGA-PBE) on an optimized crystal structure of BaNa2Tl3.

formation energy from the elements = -0.169 eV/atom
distance to the lowest polymorph of the same formula = 22 meV/atom

abc: 12.1449 11.4378 5.9629
angles: 90.00 90.00 90.00
Closest atoms and distances in Å follow each position.
Space group Cmcm (No. 63)
One atom of each set of equivalent atoms:
Ba1 0.0000 0.2351 0.2500  9 Tl 3.74-3.83
Na1 0.2399 0.5000 0.0000  2 Na 2.98, 2 Tl 3.23
Tl1 0.0000 0.4357 0.7500  4 Tl 3.20-3.32, 4 Na 3.35
Tl2 0.1859 0.2375 0.7500  3 Tl 3.20-3.38, 4 Na 3.23-3.42


| no. | DFT total energy (eV for the cell shown) |
| --- | --- |
| 1 | -45.28 |
| 2 | -124.61 |
| 3 | -50.70 |